NaSnAuSe2S | PBE | optimized geometry

a b c (Å): 7.572 7.572 10.392
angles (deg): 90.00 90.00 149.66
Fractional positions:
Na: 0.190 0.810 0.750
Na: 0.810 0.190 0.250
Sn: 0.500 0.500 0.000
Sn: 0.500 0.500 0.500
Au: 0.142 0.858 0.250
Au: 0.858 0.142 0.750
Se: 0.133 0.867 0.018
Se: 0.133 0.867 0.482
Se: 0.867 0.133 0.518
Se: 0.867 0.133 0.982
S: 0.450 0.550 0.250
S: 0.550 0.450 0.750

Values from the calculation:
Symmetry ... No. 63
Total energy ... -0.27178 Ry/atom